# 1
VASP calculation (PBE) on crystalline CrIr6Ru5 at its relaxed geometry.

Output
- Theoretical density: 16.8 g/cm3
- Electronic total energy: -0.336 Ha/atom
- Crystal system: orthorhombic
- Energy of formation from the pure elements: -1.3 kcal/mol of atoms

a b c (Å): 3.827 11.479 7.688
angles (deg): 90.00 90.00 90.00
Space group Cmmm (No. 65)
One atom of each set of equivalent atoms:
Cr (0.000, 0.000, 0.000)
Ir (0.000, 0.165, 0.248)
Ir (0.000, 0.500, 0.248)
Ru (0.000, 0.000, 0.500)
Ru (0.000, 0.333, 0.500)
Ru (0.000, 0.335, 0.000)

# 2
VASP calculation (PBE) on crystalline CrIr2Ru at its relaxed geometry.

Output
- Theoretical density: 14.5 g/cm3
- Electronic total energy: -0.319 Ha/atom
- Crystal system: tetragonal
- Energy of formation from the pure elements: 10.7 kcal/mol of atoms

a b c (Å): 3.740 3.740 17.579
angles (deg): 90.00 90.00 90.00
Space group I-42d (No. 122)
One atom of each set of equivalent atoms:
Cr (0.000, 0.000, 0.000)
Ir (0.244, 0.250, 0.125)
Ru (0.000, 0.000, 0.500)

# 3
VASP calculation (PBE) on crystalline CrIr2Ru at its relaxed geometry.

Output
- Theoretical density: 16.1 g/cm3
- Electronic total energy: -0.341 Ha/atom
- Crystal system: orthorhombic
- Energy of formation from the pure elements: -2.7 kcal/mol of atoms

a b c (Å): 5.388 7.570 2.713
angles (deg): 90.00 90.00 90.00
Space group Cmmm (No. 65)
One atom of each set of equivalent atoms:
Cr (0.000, 0.000, 0.000)
Ir (0.250, 0.250, 0.500)
Ru (0.000, 0.500, 0.000)

# 4
VASP calculation (PBE) on crystalline Cr2IrRu2 at its relaxed geometry.

Output
- Theoretical density: 12.2 g/cm3
- Electronic total energy: -0.336 Ha/atom
- Crystal system: tetragonal
- Energy of formation from the pure elements: 4.1 kcal/mol of atoms

a b c (Å): 7.033 7.033 2.747
angles (deg): 90.00 90.00 90.00
Space group P4/mbm (No. 127)
One atom of each set of equivalent atoms:
Cr (0.169, 0.331, 0.000)
Ir (0.000, 0.000, 0.500)
Ru (0.131, 0.631, 0.500)

# 5
VASP calculation (PBE) on crystalline CrIr2Ru at its relaxed geometry.

Output
- Theoretical density: 16.2 g/cm3
- Electronic total energy: -0.337 Ha/atom
- Crystal system: trigonal
- Energy of formation from the pure elements: -0.3 kcal/mol of atoms

a b c (Å): 2.7097 2.7097 26.0221
angles (deg): 90.00 90.00 120.00
Space group R-3m (No. 166, hexagonal axes)
One atom of each set of equivalent atoms:
Cr (0.0000, 0.0000, 0.0000)
Ir (0.0000, 0.0000, 0.2531)
Ru (0.0000, 0.0000, 0.5000)

# 6
VASP calculation (PBE) on crystalline CrIrRu2 at its relaxed geometry.

Output
- Theoretical density: 13.6 g/cm3
- Electronic total energy: -0.340 Ha/atom
- Crystal system: orthorhombic
- Energy of formation from the pure elements: 0.1 kcal/mol of atoms

a b c (Å): 4.117 2.699 9.839
angles (deg): 90.00 90.00 90.00
Space group Amm2 (No. 38)
One atom of each set of equivalent atoms:
Cr (0.000, 0.000, 0.000)
Ir (0.500, 0.000, 0.606)
Ru (0.000, 0.000, 0.262)
Ru (0.500, 0.000, 0.871)

# 7
VASP calculation (PBE) on crystalline CrIrRu2 at its relaxed geometry.

Output
- Theoretical density: 13.6 g/cm3
- Electronic total energy: -0.339 Ha/atom
- Crystal system: orthorhombic
- Energy of formation from the pure elements: 0.5 kcal/mol of atoms

a b c (Å): 2.693 3.758 5.385
angles (deg): 90.00 90.00 90.00
Space group Pmmm (No. 47)
One atom of each set of equivalent atoms:
Cr (0.000, 0.000, 0.000)
Ir (0.000, 0.000, 0.500)
Ru (0.500, 0.500, 0.239)

# 8
VASP calculation (PBE) on crystalline Cr2Ir2Ru at its relaxed geometry.

Output
- Theoretical density: 14.1 g/cm3
- Electronic total energy: -0.337 Ha/atom
- Crystal system: tetragonal
- Energy of formation from the pure elements: 1.7 kcal/mol of atoms

a b c (Å): 7.173 7.173 2.701
angles (deg): 90.00 90.00 90.00
Space group P4/mbm (No. 127)
One atom of each set of equivalent atoms:
Cr (0.169, 0.331, 0.000)
Ir (0.130, 0.630, 0.500)
Ru (0.000, 0.000, 0.500)